Here is ZrNi2Os after structural relaxation from Alexandria via LeMat-Bulk. Energies are from GGA-PBE.

Calculated values
* ΔH_f (0 K): -47 meV per atom

Cell lengths 4.3306, 4.3306, 4.3306 Å; angles 60.00, 60.00, 60.00 degrees
Fractional coordinates of all 4 atoms:
1 Zr 0.0000 0.0000 0.0000
2 Ni 0.7500 0.7500 0.7500
3 Ni 0.2500 0.2500 0.2500
4 Os 0.5000 0.5000 0.5000



Here is LiTbMgGa2 after structural relaxation from Alexandria via LeMat-Bulk. Energies are from GGA-PBE.

Calculated values
* ΔH_f (0 K): -273 meV per atom

Cell lengths 5.8862, 5.6244, 6.2225 Å; angles 90.00, 90.00, 90.00 degrees
Fractional coordinates of all 10 atoms:
1 Li 0.0000 0.0000 0.0000
2 Li 0.0000 0.5000 0.0000
3 Tb 0.7547 0.7500 0.5000
4 Tb 0.2453 0.2500 0.5000
5 Ga 0.7633 0.2500 0.7090
6 Ga 0.7633 0.2500 0.2910
7 Ga 0.2367 0.7500 0.7090
8 Ga 0.2367 0.7500 0.2910
9 Mg 0.4126 0.2500 0.0000
10 Mg 0.5874 0.7500 0.0000



Here is CaCePd6 after structural relaxation from Alexandria via LeMat-Bulk. Energies are from GGA-PBE.

Calculated values
* ΔH_f (0 K): -697 meV per atom

Cell lengths 4.1529, 4.1529, 8.2527 Å; angles 90.00, 90.00, 90.00 degrees
Fractional coordinates of all 8 atoms:
1 Pd 0.5000 0.0000 0.2559
2 Pd 0.5000 0.5000 0.5000
3 Pd 0.5000 0.0000 0.7441
4 Pd 0.0000 0.5000 0.7441
5 Pd 0.0000 0.5000 0.2559
6 Pd 0.5000 0.5000 0.0000
7 Ce 0.0000 0.0000 0.5000
8 Ca 0.0000 0.0000 0.0000



Here is ZnOsW3 after structural relaxation from Alexandria via LeMat-Bulk. Energies are from GGA-PBE.

Calculated values
* relative energy among the computed polymorphs: 112 meV per atom
* ΔH_f (0 K): 2095 meV per atom

Cell lengths 4.4623, 4.4623, 4.4623 Å; angles 90.00, 90.00, 90.00 degrees
Fractional coordinates of all 5 atoms:
1 Os 0.5000 0.5000 0.5000
2 W 0.0000 0.5000 0.0000
3 W 0.5000 0.0000 0.0000
4 W 0.0000 0.0000 0.5000
5 Zn 0.0000 0.0000 0.0000



Here is CoTc2SbN after structural relaxation from Alexandria via LeMat-Bulk. Energies are from GGA-PBE.

Calculated values
* E_form (uncorrected): 0.1149 eV/atom

Cell lengths 4.1734, 4.1734, 3.8039 Å; angles 90.00, 90.00, 90.00 degrees
Fractional coordinates of all 5 atoms:
1 Sb 0.5000 0.5000 0.5000
2 N 0.0000 0.0000 0.0000
3 Tc 0.5000 0.0000 0.0000
4 Tc 0.0000 0.5000 0.0000
5 Co 0.0000 0.0000 0.5000



Here is VCdRuRh after structural relaxation from Alexandria via LeMat-Bulk. Energies are from GGA-PBE.

Calculated values
* ΔH_f (0 K): -30 meV per atom

Cell lengths 4.4058, 4.4058, 4.4058 Å; angles 60.00, 60.00, 60.00 degrees
Fractional coordinates of all 4 atoms:
1 Rh 0.5000 0.5000 0.5000
2 Cd 0.7500 0.7500 0.7500
3 V 0.2500 0.2500 0.2500
4 Ru 0.0000 0.0000 0.0000



Here is Tl2GeO after structural relaxation from Alexandria via LeMat-Bulk. Energies are from GGA-PBE.

Calculated values
* relative energy among the computed polymorphs: 0 meV per atom
* E_form (uncorrected): -0.0649 eV/atom

Cell lengths 5.9212, 5.9212, 7.2171 Å; angles 65.78, 65.78, 90.00 degrees
Fractional coordinates of all 8 atoms:
1 Tl 0.1741 0.6250 0.2500
2 Tl 0.3750 0.4241 0.7500
3 Tl 0.8750 0.8259 0.7500
4 Tl 0.5759 0.1250 0.2500
5 Ge 0.0000 0.0000 0.0000
6 Ge 0.7500 0.2500 0.5000
7 O 0.5000 0.5000 0.0000
8 O 0.2500 0.7500 0.5000



Here is MgCrOs2 after structural relaxation from Alexandria via LeMat-Bulk. Energies are from GGA-PBE.

Calculated values
* ΔH_f (0 K): 222 meV per atom

Cell lengths 5.1608, 5.1608, 5.1608 Å; angles 147.50, 127.71, 62.94 degrees
Site moments in Bohr magnetons follow the coordinates.
Fractional coordinates of all 4 atoms:
1 Os 0.9757 0.9757 0.0000  -0.11
2 Os 0.5243 0.5243 0.0000  -0.11
3 Mg 0.2500 0.7500 0.5000  -0.01
4 Cr 0.7500 0.2500 0.5000  0.78



Here is SiBi3Ru after structural relaxation from Alexandria via LeMat-Bulk. Energies are from GGA-PBE.

Calculated values
* relative energy among the computed polymorphs: 0 meV per atom
* E_form (uncorrected): 0.7653 eV/atom

Cell lengths 5.2606, 5.2606, 5.2606 Å; angles 90.00, 90.00, 90.00 degrees
Fractional coordinates of all 5 atoms:
1 Si 0.5000 0.5000 0.5000
2 Bi 0.5000 0.0000 0.0000
3 Bi 0.0000 0.0000 0.5000
4 Bi 0.0000 0.5000 0.0000
5 Ru 0.0000 0.0000 0.0000



Here is Cs3KZn2F8 after structural relaxation from Alexandria via LeMat-Bulk. Energies are from GGA-PBE.

Calculated values
* E_form (uncorrected): -2.5912 eV/atom

Cell lengths 6.5512, 6.5512, 8.4177 Å; angles 90.00, 90.00, 120.00 degrees
Fractional coordinates of all 14 atoms:
1 F 0.1777 0.3555 0.3052
2 F 0.6667 0.3333 0.0165
3 F 0.8223 0.6445 0.6948
4 F 0.1777 0.8223 0.3052
5 F 0.8223 0.1777 0.6948
6 F 0.3333 0.6667 0.9835
7 F 0.6445 0.8223 0.3052
8 F 0.3555 0.1777 0.6948
9 Cs 0.6667 0.3333 0.3476
10 Cs 0.3333 0.6667 0.6524
11 Cs 0.0000 0.0000 0.0000
12 Zn 0.3333 0.6667 0.2078
13 Zn 0.6667 0.3333 0.7922
14 K 0.0000 0.0000 0.5000



Here is BiAs2Pd7 after structural relaxation from Alexandria via LeMat-Bulk. Energies are from GGA-PBE.

Calculated values
* relative energy among the computed polymorphs: 0 meV per atom
* ΔH_f (0 K): -335 meV per atom

Cell lengths 4.1483, 4.1483, 10.5743 Å; angles 101.31, 101.31, 90.00 degrees
Fractional coordinates of all 10 atoms:
1 Pd 0.3945 0.8945 0.7890
2 Pd 0.5000 0.5000 0.0000
3 Pd 0.6055 0.1055 0.2110
4 Pd 0.8945 0.3945 0.7890
5 Pd 0.7500 0.2500 0.5000
6 Pd 0.1055 0.6055 0.2110
7 Pd 0.2500 0.7500 0.5000
8 As 0.3256 0.3256 0.6511
9 As 0.6744 0.6744 0.3489
10 Bi 0.0000 0.0000 0.0000



Here is LiPm3Pr3Se8 after structural relaxation from Alexandria via LeMat-Bulk. Energies are from GGA-PBE.

Calculated values
* E_form (uncorrected): -1.8153 eV/atom

Cell lengths 8.3893, 8.3895, 8.4084 Å; angles 119.93, 90.00, 120.00 degrees
Fractional coordinates of all 15 atoms:
1 Li 0.0000 0.0000 0.5000
2 Se 0.2442 0.4884 0.7408
3 Se 0.7524 0.9966 0.7408
4 Se 0.2442 0.9966 0.7408
5 Se 0.7558 0.0034 0.2592
6 Se 0.2517 0.5034 0.2551
7 Se 0.7558 0.5116 0.2592
8 Se 0.7483 0.4966 0.7449
9 Se 0.2476 0.0034 0.2592
10 Pm 0.5000 0.5000 0.5000
11 Pm 0.5000 0.0000 0.5000
12 Pm 0.0000 0.5000 0.5000
13 Pr 0.0000 0.0000 0.0000
14 Pr 0.0000 0.5000 0.0000
15 Pr 0.5000 0.5000 0.0000



Here is YMgGa2 after structural relaxation from Alexandria via LeMat-Bulk. Energies are from GGA-PBE.

Calculated values
* ΔH_f (0 K): -472 meV per atom

Cell lengths 4.2134, 4.4199, 4.4199 Å; angles 90.00, 90.00, 90.00 degrees
Fractional coordinates of all 4 atoms:
1 Y 0.5000 0.0000 0.0000
2 Ga 0.0000 0.0000 0.5000
3 Ga 0.0000 0.5000 0.0000
4 Mg 0.5000 0.5000 0.5000



Here is Mg2C after structural relaxation from Alexandria via LeMat-Bulk. Energies are from GGA-PBE.

Calculated values
* relative energy among the computed polymorphs: 635 meV per atom
* ΔH_f (0 K): 885 meV per atom

Cell lengths 3.5584, 3.5584, 17.4662 Å; angles 90.00, 90.00, 120.00 degrees
Site moments in Bohr magnetons follow the coordinates.
Fractional coordinates of all 9 atoms:
1 C 0.6667 0.3333 0.1369  0.45
2 C 0.0000 0.0000 0.5000  0.05
3 C 0.3333 0.6667 0.8631  0.45
4 Mg 0.3333 0.6667 0.5549  0.00
5 Mg 0.0000 0.0000 0.8908  0.03
6 Mg 0.3333 0.6667 0.7436  0.00
7 Mg 0.0000 0.0000 0.1092  0.03
8 Mg 0.6667 0.3333 0.2564  0.00
9 Mg 0.6667 0.3333 0.4451  0.00



Here is GdMg2Zn after structural relaxation from Alexandria via LeMat-Bulk. Energies are from GGA-PBE.

Calculated values
* ΔH_f (0 K): -119 meV per atom

Cell lengths 4.8784, 4.3862, 4.3862 Å; angles 90.00, 90.00, 90.00 degrees
Site moments in Bohr magnetons follow the coordinates.
Fractional coordinates of all 4 atoms:
1 Mg 0.0000 0.5000 0.0000  0.00
2 Mg 0.0000 0.0000 0.5000  0.00
3 Gd 0.5000 0.5000 0.5000  7.20
4 Zn 0.5000 0.0000 0.0000  0.04



Here is OsW2N after structural relaxation from Alexandria via LeMat-Bulk. Energies are from GGA-PBE.

Calculated values
* E_form (uncorrected): 0.0801 eV/atom

Cell lengths 2.8166, 2.8166, 7.6732 Å; angles 79.42, 79.42, 60.00 degrees
Fractional coordinates of all 4 atoms:
1 Os 0.0000 0.0000 0.0000
2 N 0.5000 0.5000 0.5000
3 W 0.2317 0.2317 0.3049
4 W 0.7683 0.7683 0.6951



Here is La2CeHoP4 after structural relaxation from Alexandria via LeMat-Bulk. Energies are from GGA-PBE.

Calculated values
* ΔH_f (0 K): -1558 meV per atom

Cell lengths 4.1535, 7.1756, 7.2083 Å; angles 109.38, 90.00, 90.00 degrees
Site moments in Bohr magnetons follow the coordinates.
Fractional coordinates of all 8 atoms:
1 La 0.5000 0.0000 0.5000  0.01
2 La 0.0000 0.5000 0.5000  0.01
3 P 0.0000 0.7466 0.2356  -0.01
4 P 0.0000 0.2534 0.7644  -0.01
5 P 0.5000 0.7555 0.7651  -0.01
6 P 0.5000 0.2445 0.2349  -0.01
7 Ce 0.5000 0.5000 0.0000  0.40
8 Ho 0.0000 0.0000 0.0000  0.00



Here is Y3Ag4Hg2 after structural relaxation from Alexandria via LeMat-Bulk. Energies are from GGA-PBE.

Calculated values
* relative energy among the computed polymorphs: 0 meV per atom
* ΔH_f (0 K): -325 meV per atom

Cell lengths 4.7882, 5.9335, 9.1209 Å; angles 116.63, 90.00, 113.80 degrees
Fractional coordinates of all 9 atoms:
1 Y 0.0000 0.0000 0.0000
2 Y 0.3357 0.6715 0.3303
3 Y 0.6643 0.3285 0.6697
4 Ag 0.2721 0.5441 0.9414
5 Ag 0.7279 0.4559 0.0586
6 Ag 0.9463 0.8927 0.6095
7 Ag 0.0537 0.1073 0.3905
8 Hg 0.3849 0.7698 0.7203
9 Hg 0.6151 0.2302 0.2797



Here is Ho2ThFe after structural relaxation from Alexandria via LeMat-Bulk. Energies are from GGA-PBE.

Calculated values
* relative energy among the computed polymorphs: 212 meV per atom
* ΔH_f (0 K): 110 meV per atom

Cell lengths 3.3698, 3.3698, 8.8254 Å; angles 90.00, 90.00, 90.00 degrees
Fractional coordinates of all 4 atoms:
1 Th 0.5000 0.5000 0.5000
2 Ho 0.0000 0.0000 0.1804
3 Ho 0.0000 0.0000 0.8196
4 Fe 0.5000 0.5000 0.0000



Here is LiPr8Ag2 after structural relaxation from Alexandria via LeMat-Bulk. Energies are from GGA-PBE.

Calculated values
* ΔH_f (0 K): -37 meV per atom

Cell lengths 5.3910, 7.2659, 9.6592 Å; angles 106.58, 106.20, 90.00 degrees
Fractional coordinates of all 11 atoms:
1 Li 0.5000 0.0000 0.0000
2 Pr 0.1944 0.3111 0.3889
3 Pr 0.8056 0.6889 0.6111
4 Pr 0.9741 0.2307 0.9482
5 Pr 0.4083 0.5332 0.8165
6 Pr 0.3316 0.0214 0.6631
7 Pr 0.5917 0.4668 0.1835
8 Pr 0.6684 0.9786 0.3369
9 Pr 0.0259 0.7693 0.0518
10 Ag 0.8179 0.2821 0.6358
11 Ag 0.1821 0.7179 0.3642



Here is TaMnS2N after structural relaxation from Alexandria via LeMat-Bulk. Energies are from GGA-PBE.

Calculated values
* relative energy among the computed polymorphs: 0 meV per atom
* E_form (uncorrected): -0.0641 eV/atom

Cell lengths 4.9046, 4.9046, 3.8894 Å; angles 90.00, 90.00, 90.00 degrees
Site moments in Bohr magnetons follow the coordinates.
Fractional coordinates of all 5 atoms:
1 Ta 0.0000 0.0000 0.0000  0.01
2 N 0.0000 0.0000 0.5000  0.09
3 Mn 0.5000 0.5000 0.5000  4.47
4 S 0.0000 0.5000 0.0000  0.04
5 S 0.5000 0.0000 0.0000  0.04



Here is Pm3Cu8Hg after structural relaxation from Alexandria via LeMat-Bulk. Energies are from GGA-PBE.

Calculated values
* ΔH_f (0 K): -151 meV per atom

Cell lengths 5.2583, 5.2583, 9.1542 Å; angles 73.31, 73.31, 60.00 degrees
Fractional coordinates of all 12 atoms:
1 Cu 0.4334 0.4334 0.1878
2 Cu 0.9455 0.4334 0.1878
3 Cu 0.4373 0.9381 0.6865
4 Cu 0.9381 0.4373 0.6865
5 Cu 0.9381 0.9381 0.6865
6 Cu 0.4334 0.9455 0.1878
7 Cu 0.6865 0.6865 0.9405
8 Cu 0.1887 0.1887 0.4338
9 Pm 0.3788 0.3788 0.8635
10 Pm 0.9934 0.9934 0.0197
11 Pm 0.5055 0.5055 0.4835
12 Hg 0.8713 0.8713 0.3860



Here is TmSc4Pd2 after structural relaxation from Alexandria via LeMat-Bulk. Energies are from GGA-PBE.

Calculated values
* ΔH_f (0 K): -317 meV per atom

Cell lengths 3.4341, 3.4341, 15.7772 Å; angles 83.75, 83.75, 60.00 degrees
Fractional coordinates of all 7 atoms:
1 Sc 0.3057 0.3057 0.0829
2 Sc 0.8922 0.8922 0.3233
3 Sc 0.6943 0.6943 0.9171
4 Sc 0.1078 0.1078 0.6767
5 Pd 0.5988 0.5988 0.2037
6 Pd 0.4012 0.4012 0.7963
7 Tm 0.5000 0.5000 0.5000



Here is SmPu2Si2Pt7 after structural relaxation from Alexandria via LeMat-Bulk. Energies are from GGA-PBE.

Calculated values
* E_form (uncorrected): -0.9152 eV/atom

Cell lengths 4.0779, 4.0779, 13.9165 Å; angles 84.25, 84.25, 89.31 degrees
Site moments in Bohr magnetons follow the coordinates.
Fractional coordinates of all 12 atoms:
1 Pt 0.9440 0.4449 0.1625  0.04
2 Pt 0.5551 0.0560 0.8375  0.04
3 Pt 0.4449 0.9440 0.1625  0.04
4 Pt 0.5000 0.5000 0.0000  0.03
5 Pt 0.0560 0.5551 0.8375  0.04
6 Pt 0.6218 0.6218 0.5749  -0.08
7 Pt 0.3782 0.3782 0.4251  -0.08
8 Sm 0.0000 0.0000 0.0000  0.01
9 Pu 0.1071 0.1071 0.6368  5.18
10 Pu 0.8929 0.8929 0.3632  5.18
11 Si 0.4125 0.4125 0.2547  -0.01
12 Si 0.5875 0.5875 0.7453  -0.01



Here is Hf2TlZnOs after structural relaxation from Alexandria via LeMat-Bulk. Energies are from GGA-PBE.

Calculated values
* ΔH_f (0 K): 1852 meV per atom

Cell lengths 5.2100, 4.9380, 5.2100 Å; angles 90.00, 90.00, 90.00 degrees
Fractional coordinates of all 5 atoms:
1 Zn 0.5000 0.5000 0.5000
2 Os 0.0000 0.5000 0.0000
3 Hf 0.5000 0.0000 0.0000
4 Hf 0.0000 0.0000 0.5000
5 Tl 0.0000 0.0000 0.0000